{"formula": "ZnRuSCl2", "functional": "PBE-GGA", "state": "optimized geometry", "magmom_total_mub_per_fu": 0.0, "total_energy_ev_per_cell": -18.153, "sg": "P4/mmm (123)", "lattice": [[-0.696, 3.694, -3.222], [-4.900, -0.442, 0.552], [0.111, 2.922, 3.326]], "species": ["Ru", "Zn", "S", "Cl", "Cl"], "frac_coords": [[0.000, 0.000, 0.000], [0.500, 0.500, 0.500], [0.000, 0.000, 0.500], [0.000, 0.500, 0.000], [0.500, 0.000, 0.000]]}

{"formula": "Sb2RuCl", "functional": "PBE-GGA", "state": "optimized geometry", "magmom_total_mub_per_fu": 1.1, "total_energy_ev_per_cell": -17.442, "sg": "Pmmm (47)", "lattice": [[3.140, 0.000, 0.000], [0.000, 6.261, 0.000], [0.000, 0.000, 4.589]], "species": ["Cl", "Ru", "Sb", "Sb"], "frac_coords": [[0.500, 0.000, 0.500], [0.000, 0.500, 0.500], [0.000, 0.000, 0.000], [0.500, 0.500, 0.000]]}

{"formula": "Sb2Ru2Cl", "functional": "PBE-GGA", "state": "optimized geometry", "magmom_total_mub_per_fu": 0.0, "total_energy_ev_per_cell": -27.174, "sg": "I4/mmm (139)", "lattice": [[-1.383, 4.187, -0.344], [-2.741, -0.625, 3.414], [1.893, 3.373, 5.002]], "species": ["Sb", "Sb", "Cl", "Ru", "Ru"], "frac_coords": [[0.750, 0.250, 0.500], [0.250, 0.750, 0.500], [0.000, 0.000, 0.000], [0.383, 0.383, 0.234], [0.617, 0.617, 0.766]]}

{"formula": "SbRu2Cl", "functional": "PBE-GGA", "state": "optimized geometry", "magmom_total_mub_per_fu": 0.0, "total_energy_ev_per_cell": -22.424, "sg": "Immm (71)", "lattice": [[5.259, -0.005, 0.000], [1.650, 4.994, 0.000], [-2.510, -3.804, 2.626]], "species": ["Cl", "Ru", "Ru", "Sb"], "frac_coords": [[0.250, 0.750, 0.500], [0.999, 0.999, 0.000], [0.501, 0.501, 0.000], [0.750, 0.250, 0.500]]}

{"formula": "Sb2RuCl", "functional": "PBE-GGA", "state": "optimized geometry", "magmom_total_mub_per_fu": 0.0, "total_energy_ev_per_cell": -18.451, "sg": "Immm (71)", "lattice": [[-6.169, -2.500, -1.045], [-2.033, -5.461, -3.382], [3.565, 3.088, 4.812]], "species": ["Cl", "Ru", "Sb", "Sb"], "frac_coords": [[0.250, 0.750, 0.500], [0.750, 0.250, 0.500], [0.931, 0.931, 0.000], [0.569, 0.569, 0.000]]}

{"formula": "SbRu2Cl", "functional": "PBE-GGA", "state": "optimized geometry", "magmom_total_mub_per_fu": 0.0, "total_energy_ev_per_cell": -22.112, "sg": "P4/mmm (123)", "lattice": [[-0.657, 2.818, 1.234], [-4.454, -1.070, 0.071], [0.483, -1.732, 4.214]], "species": ["Cl", "Ru", "Ru", "Sb"], "frac_coords": [[0.500, 0.000, 0.500], [0.000, 0.000, 0.000], [0.000, 0.500, 0.500], [0.500, 0.500, 0.000]]}

{"formula": "Sb2RuCl", "functional": "PBE-GGA", "state": "optimized geometry", "magmom_total_mub_per_fu": 0.0, "total_energy_ev_per_cell": -18.524, "sg": "P4mm (99)", "lattice": [[3.162, 0.012, 0.000], [-0.012, 3.162, 0.000], [0.000, 0.000, 8.931]], "species": ["Cl", "Ru", "Sb", "Sb"], "frac_coords": [[0.000, 0.000, 0.566], [0.500, 0.500, 0.757], [0.000, 0.000, 0.930], [0.500, 0.500, 0.247]]}

{"formula": "SbRuCl", "functional": "PBE-GGA", "state": "optimized geometry", "magmom_total_mub_per_fu": 0.0, "total_energy_ev_per_cell": -14.864, "sg": "I4mm (107)", "lattice": [[-6.121, -1.971, -2.987], [-4.144, -1.982, -5.402], [0.143, -3.115, 0.131]], "species": ["Cl", "Ru", "Sb"], "frac_coords": [[0.955, 0.955, 0.045], [0.334, 0.334, 0.666], [0.710, 0.710, 0.290]]}

{"formula": "SbRu2Cl", "functional": "PBE-GGA", "state": "optimized geometry", "magmom_total_mub_per_fu": 0.0, "total_energy_ev_per_cell": -22.928, "sg": "Imm2 (44)", "lattice": [[-3.549, -5.171, -0.966], [-2.848, -4.096, 3.922], [1.113, 5.820, -2.271]], "species": ["Cl", "Ru", "Ru", "Sb"], "frac_coords": [[0.267, 0.767, 0.500], [0.945, 0.945, 0.000], [0.747, 0.247, 0.500], [0.540, 0.540, 0.000]]}

{"formula": "Sb2RuCl", "functional": "PBE-GGA", "state": "optimized geometry", "magmom_total_mub_per_fu": 0.0, "total_energy_ev_per_cell": -19.783, "sg": "R-3m (166)", "lattice": [[7.952, -0.050, -0.030], [7.088, 3.604, -0.030], [7.088, 1.675, 3.191]], "species": ["Cl", "Ru", "Sb", "Sb"], "frac_coords": [[0.250, 0.250, 0.250], [0.750, 0.750, 0.750], [0.016, 0.016, 0.016], [0.484, 0.484, 0.484]]}

{"formula": "Sb2RuCl", "functional": "PBE-GGA", "state": "optimized geometry", "magmom_total_mub_per_fu": 0.0, "total_energy_ev_per_cell": -37.710, "sg": "I-42d (122)", "lattice": [[6.267, 0.000, 0.000], [0.000, 6.267, 0.000], [3.134, 3.134, 6.497]], "species": ["Sb", "Sb", "Sb", "Sb", "Cl", "Cl", "Ru", "Ru"], "frac_coords": [[0.711, 0.125, 0.250], [0.039, 0.625, 0.250], [0.375, 0.289, 0.750], [0.875, 0.961, 0.750], [0.500, 0.500, 0.000], [0.250, 0.750, 0.500], [0.000, 0.000, 0.000], [0.750, 0.250, 0.500]]}

{"formula": "SbRu2Cl", "functional": "PBE-GGA", "state": "optimized geometry", "magmom_total_mub_per_fu": 0.0, "total_energy_ev_per_cell": -22.901, "sg": "Cm (8)", "lattice": [[-5.403, 1.321, 0.045], [-5.279, -1.735, -0.247], [-0.510, -0.428, 4.258]], "species": ["Cl", "Ru", "Ru", "Sb"], "frac_coords": [[0.772, 0.772, 0.806], [0.968, 0.968, 0.997], [0.227, 0.227, 0.229], [0.533, 0.533, 0.468]]}